Computed, not measured: a relaxed Tb2Pr9Sm crystal at the PBE-GGA level of DFT.

Cell: 5.2045 5.2045 15.6141 Å, 90.00 90.00 90.00°
Positions (direct):
Pr 0.5000 0.0000 0.1677
Pr 0.5000 0.5000 0.3342
Pr 0.5000 0.0000 0.8323
Pr 0.0000 0.5000 0.8323
Pr 0.0000 0.5000 0.1677
Pr 0.0000 0.5000 0.5000
Pr 0.5000 0.0000 0.5000
Pr 0.5000 0.5000 0.0000
Pr 0.5000 0.5000 0.6658
Tb 0.0000 0.0000 0.3340
Tb 0.0000 0.0000 0.6660
Sm 0.0000 0.0000 0.0000

## Properties
- Formation energy: 0.014 eV per atom
- SG: P4/mmm, No. 123

---

Computed, not measured: a relaxed Ce2GaGe4Rh3 crystal at the PBE-GGA level of DFT.

Cell: 4.2443 4.2443 10.3101 Å, 90.00 90.00 90.00°
Positions (direct):
Ga 0.5000 0.5000 0.5000
Ge 0.5000 0.5000 0.0000
Ge 0.0000 0.0000 0.0000
Ge 0.0000 0.5000 0.3584
Ge 0.5000 0.0000 0.6416
Rh 0.5000 0.0000 0.8759
Rh 0.0000 0.0000 0.5000
Rh 0.0000 0.5000 0.1241
Ce 0.0000 0.5000 0.7567
Ce 0.5000 0.0000 0.2433

## Properties
- Formation energy: -0.753 eV per atom
- SG: P-4m2, No. 115

---

Computed, not measured: a relaxed FeReMo2 crystal at the PBE-GGA level of DFT.

Cell: 4.3732 2.6625 5.1756 Å, 79.23 90.00 90.00°
Positions (direct):
Fe 0.5000 0.7500 0.7500
Mo 0.0000 0.4964 0.5043
Mo 0.0000 0.0036 0.9957
Re 0.5000 0.2500 0.2500

## Properties
- E above lowest polymorph: 0.0072 eV per atom
- Formation energy: 0.095 eV per atom
- SG: P2/m, No. 10

---

Computed, not measured: a relaxed HgPt2O6 crystal at the PBE-GGA level of DFT.

Cell: 4.8127 5.3336 5.3336 Å, 120.00 90.00 90.00°
Positions (direct):
O 0.7265 0.3747 0.0000
O 0.7265 0.0000 0.3747
O 0.7265 0.6253 0.6253
O 0.2735 0.0000 0.6253
O 0.2735 0.3747 0.3747
O 0.2735 0.6253 0.0000
Pt 0.5000 0.3333 0.6667
Pt 0.5000 0.6667 0.3333
Hg 0.0000 0.0000 0.0000

## Properties
- Formation energy (no corrections): -318 meV per atom
- SG: P-31m, No. 162

---

Computed, not measured: a relaxed Sc3InFe crystal at the PBE-GGA level of DFT.

Cell: 4.8223 4.8223 4.8223 Å, 90.00 90.00 90.00°
Positions (direct):
Sc 0.5000 0.0000 0.0000
Sc 0.0000 0.0000 0.5000
Sc 0.0000 0.5000 0.0000
Fe 0.0000 0.0000 0.0000
In 0.5000 0.5000 0.5000

## Properties
- E above lowest polymorph: 0.0000 eV per atom
- Formation energy: -0.077 eV per atom
- SG: Pm-3m, No. 221

---

Computed, not measured: a relaxed MnTeCl2 crystal at the PBE-GGA level of DFT.

Cell: 4.9594 4.9595 4.9594 Å, 119.89 119.89 90.18°
Positions (direct):
Cl 0.0000 0.0000 0.0000
Cl 0.2500 0.7500 0.5000
Mn 0.5000 0.5000 0.0000
Te 0.7500 0.2500 0.5000

## Properties
- E above lowest polymorph: 0.7001 eV per atom
- Formation energy (no corrections): 99 meV per atom
- SG: I-4m2, No. 119

---

Computed, not measured: a relaxed SmPaRu3 crystal at the PBE-GGA level of DFT.

Cell: 6.5446 6.5446 6.5446 Å, 109.27 126.61 94.22°
Positions (direct):
Sm 0.0084 0.2584 0.2500
Sm 0.9916 0.7416 0.7500
Ru 0.0000 0.3080 0.8080
Ru 0.5000 0.3080 0.3080
Ru 0.6932 0.9432 0.2500
Ru 0.5000 0.6920 0.6920
Ru 0.3068 0.0568 0.7500
Ru 0.0000 0.6920 0.1920
Pa 0.5000 0.0000 0.5000
Pa 0.5000 0.5000 0.0000

## Properties
- Formation energy: -0.255 eV per atom
- SG: Imma, No. 74

---

Computed, not measured: a relaxed CsNiBr2Cl crystal at the PBE-GGA level of DFT.

Cell: 5.1908 5.1908 4.9389 Å, 90.00 90.00 90.00°
Positions (direct):
Br 0.0000 0.5000 0.0000
Br 0.5000 0.0000 0.0000
Ni 0.0000 0.0000 0.0000
Cs 0.5000 0.5000 0.5000
Cl 0.0000 0.0000 0.5000

## Properties
- Formation energy (no corrections): -892 meV per atom
- SG: P4/mmm, No. 123

---

Computed, not measured: a relaxed Li3Ga8Ag3 crystal at the PBE-GGA level of DFT.

Cell: 4.3770 7.9207 7.9207 Å, 81.62 73.96 73.96°
Positions (direct):
Ga 0.6474 0.0811 0.6242
Ga 0.6474 0.6242 0.0811
Ga 0.1359 0.4857 0.2425
Ga 0.8641 0.5143 0.7575
Ga 0.3526 0.9189 0.3758
Ga 0.3526 0.3758 0.9189
Ga 0.8641 0.7575 0.5143
Ga 0.1359 0.2425 0.4857
Li 0.2148 0.7852 0.7852
Li 0.7852 0.2148 0.2148
Li 0.5000 0.5000 0.5000
Ag 0.0000 0.1614 0.8386
Ag 0.0000 0.8386 0.1614
Ag 0.5000 0.0000 0.0000

## Properties
- Formation energy: -0.143 eV per atom
- SG: Immm, No. 71

---

Computed, not measured: a relaxed CuHg2TeMo crystal at the PBE-GGA level of DFT.

Cell: 4.9196 5.0447 4.9196 Å, 90.00 90.00 90.00°
Positions (direct):
Te 0.5000 0.5000 0.5000
Hg 0.5000 0.0000 0.0000
Hg 0.0000 0.0000 0.5000
Cu 0.0000 0.0000 0.0000
Mo 0.0000 0.5000 0.0000

## Properties
- Formation energy (no corrections): 808 meV per atom
- SG: P4/mmm, No. 123

---

Computed, not measured: a relaxed KRb2Ba2 crystal at the PBE-GGA level of DFT.

Cell: 5.9038 5.9038 12.4908 Å, 76.33 76.33 90.00°
Positions (direct):
Ba 0.2500 0.7500 0.5000
Ba 0.7500 0.2500 0.5000
K 0.0000 0.0000 0.0000
Rb 0.5961 0.5961 0.8077
Rb 0.4039 0.4039 0.1923

## Properties
- E above lowest polymorph: 0.0002 eV per atom
- Formation energy: 0.210 eV per atom
- SG: I4/mmm, No. 139

---

Computed, not measured: a relaxed Ba2AgIrC crystal at the PBE-GGA level of DFT.

Cell: 5.9299 5.9299 3.8950 Å, 90.00 90.00 90.00°
Positions (direct):
Ba 0.5000 0.0000 0.0000
Ba 0.0000 0.5000 0.0000
Ir 0.0000 0.0000 0.5000
Ag 0.5000 0.5000 0.5000
C 0.0000 0.0000 0.0000

## Properties
- Formation energy: -0.130 eV per atom
- SG: P4/mmm, No. 123

---

| no. | N(E_F) (states/eV/cell) |
| --- | --- |
| 1 | 20.8 |
| 2 | 9.1 |
| 3 | 3.1 |
| 4 | 7.5 |
| 5 | 5.9 |
| 6 | 1.6 |
| 7 | 10.1 |
| 8 | 1.9 |
| 9 | 3.1 |
| 10 | 3.4 |
| 11 | 7.6 |
| 12 | 2.1 |